# 1
Computed, not measured: a geometry-optimized NdSm3Er3Te8 structure at the PBE level of DFT.

DOS(E_F): 6.83 states/eV/cell
Uncorrected energy: -5.234 eV/atom
E_form (uncorrected): -1384 meV/atom

Cell lengths 8.744, 8.744, 8.744 Å; angles 59.97, 59.97, 59.97 degrees
Fractional positions:
Nd1 0.000 0.000 0.000
Sm1 0.000 0.000 0.500
Sm2 0.000 0.500 0.000
Sm3 0.500 0.000 0.000
Er1 0.000 0.500 0.500
Er2 0.500 0.000 0.500
Er3 0.500 0.500 0.000
Te1 0.253 0.253 0.253
Te2 0.260 0.260 0.733
Te3 0.260 0.733 0.260
Te4 0.267 0.740 0.740
Te5 0.733 0.260 0.260
Te6 0.740 0.267 0.740
Te7 0.740 0.740 0.267
Te8 0.747 0.747 0.747

# 2
Computed, not measured: a geometry-optimized NdYGe2Pd5 structure at the PBE level of DFT.

DOS(E_F): 2.70 states/eV/cell
Uncorrected energy: -5.959 eV/atom
Calculated formation energy: -0.800 eV per atom

Cell lengths 4.276, 4.276, 9.149 Å; angles 90.00, 90.00, 90.00 degrees
Fractional positions:
Nd1 0.000 0.000 0.000
Y1 0.000 0.000 0.500
Ge1 0.500 0.500 0.366
Ge2 0.500 0.500 0.634
Pd1 0.000 0.500 0.229
Pd2 0.000 0.500 0.771
Pd3 0.500 0.000 0.229
Pd4 0.500 0.000 0.771
Pd5 0.500 0.500 0.000

# 3
Computed, not measured: a geometry-optimized LaCd2As2 structure at the PBE level of DFT.

DOS(E_F): 5.67 states/eV/cell
Uncorrected energy: -3.574 eV/atom
Calculated formation energy: -0.363 eV per atom

Cell lengths 7.996, 7.996, 3.814 Å; angles 90.00, 90.00, 90.00 degrees
Fractional positions:
La1 0.000 0.000 0.000
La2 0.500 0.500 0.000
Cd1 0.139 0.361 0.500
Cd2 0.361 0.861 0.500
Cd3 0.639 0.139 0.500
Cd4 0.861 0.639 0.500
As1 0.157 0.657 0.000
As2 0.343 0.157 0.000
As3 0.657 0.843 0.000
As4 0.843 0.343 0.000

# 4
Computed, not measured: a geometry-optimized PrDy8Bi6 structure at the PBE level of DFT.

DOS(E_F): 9.18 states/eV/cell
Uncorrected energy: -4.851 eV/atom
Calculated formation energy: -0.525 eV per atom

Cell lengths 10.762, 10.762, 10.762 Å; angles 42.01, 42.01, 42.01 degrees
Fractional positions:
Pr1 0.000 0.000 0.000
Dy1 0.125 0.795 0.446
Dy2 0.205 0.554 0.875
Dy3 0.334 0.334 0.334
Dy4 0.446 0.125 0.795
Dy5 0.554 0.875 0.205
Dy6 0.666 0.666 0.666
Dy7 0.795 0.446 0.125
Dy8 0.875 0.205 0.554
Bi1 0.062 0.406 0.723
Bi2 0.277 0.938 0.594
Bi3 0.406 0.723 0.062
Bi4 0.594 0.277 0.938
Bi5 0.723 0.062 0.406
Bi6 0.938 0.594 0.277

# 5
Computed, not measured: a geometry-optimized Cs2KInF6 structure at the PBE level of DFT.

DOS(E_F): 0.00 states/eV/cell
Uncorrected energy: -4.450 eV/atom
E_form (uncorrected): -2773 meV/atom

Cell lengths 6.667, 6.668, 6.668 Å; angles 60.03, 90.00, 60.03 degrees
Fractional positions:
Cs1 0.250 0.000 0.250
Cs2 0.750 0.000 0.750
K1 0.000 0.500 0.500
In1 0.500 0.500 0.000
F1 0.265 0.502 0.213
F2 0.277 0.949 0.775
F3 0.286 0.500 0.766
F4 0.714 0.500 0.234
F5 0.723 0.051 0.225
F6 0.735 0.498 0.787

# 6
Computed, not measured: a geometry-optimized KLiSn2S4 structure at the PBE level of DFT.

DOS(E_F): 0.27 states/eV/cell
Uncorrected energy: -4.064 eV/atom
E_form (uncorrected): -623 meV/atom

Cell lengths 6.319, 6.319, 6.319 Å; angles 116.55, 112.90, 99.43 degrees
Fractional positions:
K1 0.000 0.000 0.000
Li1 0.500 0.500 0.000
Sn1 0.199 0.699 0.500
Sn2 0.801 0.301 0.500
S1 0.156 0.577 0.047
S2 0.470 0.423 0.580
S3 0.530 0.109 0.953
S4 0.844 0.891 0.420

# 7
Computed, not measured: a geometry-optimized BaMg2In6 structure at the PBE level of DFT.

DOS(E_F): 2.70 states/eV/cell
Uncorrected energy: -2.509 eV/atom
Energy above the most stable polymorph in this dataset: 0.0 meV/atom
Calculated formation energy: -0.115 eV per atom

Cell lengths 9.222, 9.222, 3.352 Å; angles 90.00, 90.00, 120.00 degrees
Fractional positions:
Ba1 0.000 0.000 0.000
Mg1 0.333 0.667 0.000
Mg2 0.667 0.333 0.000
In1 0.000 0.343 0.500
In2 0.000 0.657 0.500
In3 0.343 0.000 0.500
In4 0.343 0.343 0.500
In5 0.657 0.000 0.500
In6 0.657 0.657 0.500

# 8
Computed, not measured: a geometry-optimized Ti2AgAu2 structure at the PBE level of DFT.

DOS(E_F): 8.98 states/eV/cell
Uncorrected energy: -5.245 eV/atom
Energy above the most stable polymorph in this dataset: 0.0 meV/atom
Calculated formation energy: -0.206 eV per atom

Cell lengths 7.665, 7.665, 3.070 Å; angles 90.00, 90.00, 90.00 degrees
Fractional positions:
Ti1 0.166 0.334 0.000
Ti2 0.334 0.834 0.000
Ti3 0.666 0.166 0.000
Ti4 0.834 0.666 0.000
Ag1 0.000 0.000 0.500
Ag2 0.500 0.500 0.500
Au1 0.131 0.631 0.500
Au2 0.369 0.131 0.500
Au3 0.631 0.869 0.500
Au4 0.869 0.369 0.500

- What is the uncorrected energy in the first record?
  -5.234 eV/atom

- Among the records above, which one has the highest DOS(E_F)?
  PrDy8Bi6

- Which of these has the lowest DOS(E_F)?
  Cs2KInF6

- The highest DOS(E_F) belongs to which entry?
  PrDy8Bi6